{"formula": "AgSbF6", "functional": "PBE-GGA", "state": "optimized geometry", "cell": [[5.5186, 0.0000, 0.0000], [-2.7593, 4.7793, 0.0000], [0.0000, 0.0000, 10.6313]], "species": ["Ag", "Ag", "F", "F", "F", "F", "F", "F", "F", "F", "F", "F", "F", "F", "Sb", "Sb"], "fractional_positions": [[0.6667, 0.3333, 0.7500], [0.3333, 0.6667, 0.2500], [0.7110, 0.9902, 0.3947], [0.7208, 0.0098, 0.8947], [0.0098, 0.7208, 0.3947], [0.0098, 0.2890, 0.1053], [0.7208, 0.7110, 0.6053], [0.2792, 0.2890, 0.3947], [0.2890, 0.0098, 0.6053], [0.9902, 0.2792, 0.6053], [0.2890, 0.2792, 0.8947], [0.7110, 0.7208, 0.1053], [0.9902, 0.7110, 0.8947], [0.2792, 0.9902, 0.1053], [0.0000, 0.0000, 0.5000], [0.0000, 0.0000, 0.0000]], "magmom_total_mub_per_fu": 0.1, "spacegroup": "No. 163", "e_form_raw_mev_per_atom": -2057, "e_tot_ev_per_fu": -34.66}



{"formula": "AgSb3F", "functional": "PBE-GGA", "state": "optimized geometry", "cell": [[5.3524, 0.0000, 0.0000], [0.0000, 5.3524, 0.0000], [0.0000, 0.0000, 5.3524]], "species": ["F", "Sb", "Sb", "Sb", "Ag"], "fractional_positions": [[0.5000, 0.5000, 0.5000], [0.0000, 0.0000, 0.5000], [0.5000, 0.0000, 0.0000], [0.0000, 0.5000, 0.0000], [0.0000, 0.0000, 0.0000]], "magmom_total_mub_per_fu": 0.0, "spacegroup": "No. 221", "e_form_raw_mev_per_atom": 433, "e_tot_ev_per_fu": -14.92, "de_polymorph_mev_per_atom": 380.3}